No. 1
DFT (PBE) results for a relaxed Nd5Tm6Th crystal.

The formation enthalpy at 0 K comes out at 24.0 meV per atom.

a b c (Å): 5.1052 9.9171 15.3221
angles (deg): 90.00 90.00 90.00
Space group Immm (No. 71)
Unique sites:
Nd (0.0000, 0.0000, 0.0000) [2 per cell]
Nd (0.0000, 0.0000, 0.3349) [4 per cell]
Nd (0.0000, 0.5000, 0.3349) [4 per cell]
Tm (0.0000, 0.2446, 0.5000) [4 per cell]
Tm (0.0000, 0.2528, 0.1652) [8 per cell]
Th (0.0000, 0.5000, 0.0000) [2 per cell]


No. 2
DFT (PBE) results for a relaxed Cs2UTeSe6 crystal.

For the formation energy from raw total energies, the calculation gives -0.794 eV/atom.

a b c (Å): 7.8093 7.8093 39.8575
angles (deg): 90.00 90.00 120.00
Space group R-3m (No. 166, hexagonal axes)
Unique sites:
Cs (0.0000, 0.0000, 0.1260) [6 per cell]
Cs (0.0000, 0.0000, 0.2929) [6 per cell]
U (0.0000, 0.0000, 0.4107) [6 per cell]
Te (0.0000, 0.0000, 0.0000) [3 per cell]
Te (0.0000, 0.0000, 0.5000) [3 per cell]
Se (0.0009, 0.5005, 0.7082) [18 per cell]
Se (0.0207, 0.5104, 0.1205) [18 per cell]


No. 3
DFT (PBE) results for a relaxed LaRu crystal.

The formation enthalpy at 0 K comes out at 81.6 meV per atom.

a b c (Å): 10.7555 10.7555 3.7988
angles (deg): 90.00 90.00 90.00
Space group I4/m (No. 87)
Unique sites:
La (0.0012, 0.2532, 0.0000) [8 per cell]
Ru (0.1676, 0.2448, 0.5000) [8 per cell]